A plane-wave DFT calculation with PBE-GGA was carried out for an optimized crystal structure of LiAcLuMg.

a = 7.8202 Å, b = 7.8202 Å, c = 7.8202 Å
α = 90.00°, β = 90.00°, γ = 90.00°
With the nearest neighbours (Å) after each atom.
Fractional positions:
Li 0.0000 0.0000 0.0000  4 Lu 3.39, 4 Ac 3.39
Li 0.0000 0.5000 0.5000  4 Lu 3.39, 4 Ac 3.39
Li 0.5000 0.0000 0.5000  4 Lu 3.39, 4 Ac 3.39
Li 0.5000 0.5000 0.0000  4 Lu 3.39, 4 Ac 3.39
Ac 0.2500 0.2500 0.2500  4 Li 3.39, 4 Mg 3.39
Ac 0.2500 0.7500 0.7500  4 Li 3.39, 4 Mg 3.39
Ac 0.7500 0.2500 0.7500  4 Li 3.39, 4 Mg 3.39
Ac 0.7500 0.7500 0.2500  4 Li 3.39, 4 Mg 3.39
Lu 0.2500 0.2500 0.7500  4 Mg 3.39, 4 Li 3.39
Lu 0.2500 0.7500 0.2500  4 Mg 3.39, 4 Li 3.39
Lu 0.7500 0.2500 0.2500  4 Mg 3.39, 4 Li 3.39
Lu 0.7500 0.7500 0.7500  4 Mg 3.39, 4 Li 3.39
Mg 0.0000 0.0000 0.5000  4 Ac 3.39, 4 Lu 3.39
Mg 0.0000 0.5000 0.0000  4 Ac 3.39, 4 Lu 3.39
Mg 0.5000 0.0000 0.0000  4 Ac 3.39, 4 Lu 3.39
Mg 0.5000 0.5000 0.5000  4 Ac 3.39, 4 Lu 3.39

Output
calculated total energy: -47.49 eV per cell
N(E_F): 5.21 states/eV/f.u.
calculated volume: 29.89 Å³/atom
formation energy: 66 meV per atom